Record 1
An optimized crystal structure of Pr2HoThSe5, computed with PBE-GGA.

The space group is P4/mmm (No. 123) and the conventional cell measures 5.0796, 5.0796 and 10.9029 Å, with angles of 90.00, 90.00 and 90.00 degrees. The inequivalent atoms are Pr at (0.0000, 0.0000, 0.2047), Ho at (0.5000, 0.5000, 0.0000), Th at (0.5000, 0.5000, 0.5000), Se at (0.0000, 0.0000, 0.5000), Se at (0.0000, 0.5000, 0.0000) and Se at (0.5000, 0.5000, 0.2512).

The energy comes out at -5.531 eV per atom. The formation energy (no corrections) comes out at -10.80 eV per formula unit.

***

Record 2
An optimized crystal structure of CrWCl2, computed with PBE-GGA.

The space group is Pmmm (No. 47) and the conventional cell measures 2.8930, 4.2568 and 5.5842 Å, with angles of 90.00, 90.00 and 90.00 degrees. The inequivalent atoms are Cr at (0.0000, 0.0000, 0.0000), W at (0.5000, 0.0000, 0.5000), Cl at (0.0000, 0.5000, 0.5000) and Cl at (0.5000, 0.5000, 0.0000).

Its energy relative to the lowest polymorph listed for this composition is 310.9 kJ/mol of formula units. The energy comes out at -5.924 eV per atom. The formation energy (no corrections) comes out at 2.57 eV per formula unit.

***

Question: Number 2 is which compound?
Answer: CrWCl2